(1)
# Cd2GaI2 (GGA-PBE, relaxed)
# magnetic moment: 0.00 μB per cell
# formation energy from raw total energies: -106 meV per atom
# relative energy among the computed polymorphs: 0.0 kJ/mol of formula units
data_Cd2GaI2
_chemical_formula_sum 'Cd4 Ga2 I4'
_cell_length_a 4.133
_cell_length_b 4.133
_cell_length_c 19.411
_cell_angle_alpha 90.00
_cell_angle_beta 90.00
_cell_angle_gamma 90.00
_space_group_name_H-M_alt 'I 4/m m m'
_space_group_IT_number 139
_space_group_name_Hall '-I 4 2'
loop_
_atom_site_label
_atom_site_type_symbol
_atom_site_fract_x
_atom_site_fract_y
_atom_site_fract_z
Cd1 Cd 0.000 0.500 0.250
Ga1 Ga 0.000 0.000 0.000
I1 I 0.000 0.000 0.401


(2)
# ScIr2Br (GGA-PBE, relaxed)
# magnetic moment: 0.00 μB per cell
# formation energy from raw total energies: 222 meV per atom
# relative energy among the computed polymorphs: 201.8 kJ/mol of formula units
data_ScIr2Br
_chemical_formula_sum 'Sc2 Ir4 Br2'
_cell_length_a 3.956
_cell_length_b 3.956
_cell_length_c 8.729
_cell_angle_alpha 90.00
_cell_angle_beta 90.00
_cell_angle_gamma 90.00
_space_group_name_H-M_alt 'I -4 m 2'
_space_group_IT_number 119
_space_group_name_Hall 'I -4 -2'
loop_
_atom_site_label
_atom_site_type_symbol
_atom_site_fract_x
_atom_site_fract_y
_atom_site_fract_z
Sc1 Sc 0.000 0.000 0.000
Ir1 Ir 0.000 0.000 0.500
Ir2 Ir 0.000 0.500 0.250
Br1 Br 0.000 0.500 0.750


(3)
# Dy2CuSi3Pt12 (GGA-PBE, relaxed)
# magnetic moment: 0.00 μB per cell
# formation energy from raw total energies: -480 meV per atom
data_Dy2CuSi3Pt12
_chemical_formula_sum 'Dy6 Cu3 Si9 Pt36'
_cell_length_a 8.2342
_cell_length_b 8.2342
_cell_length_c 17.6123
_cell_angle_alpha 90.00
_cell_angle_beta 90.00
_cell_angle_gamma 120.00
_space_group_name_H-M_alt 'R -3 m'
_space_group_IT_number 166
_space_group_name_Hall '-R 3 2"'
loop_
_atom_site_label
_atom_site_type_symbol
_atom_site_fract_x
_atom_site_fract_y
_atom_site_fract_z
Dy1 Dy 0.0000 0.0000 0.1139
Cu1 Cu 0.0000 0.0000 0.5000
Si1 Si 0.0000 0.5000 0.0000
Pt1 Pt 0.0040 0.5020 0.8690
Pt2 Pt 0.0234 0.5117 0.3701


(4)
# OsW3N (GGA-PBE, relaxed)
# magnetic moment: 0.00 μB per cell
# formation energy from raw total energies: 3107 meV per atom
# relative energy among the computed polymorphs: 1475.2 kJ/mol of formula units
data_OsW3N
_chemical_formula_sum 'Os1 W3 N1'
_cell_length_a 4.734
_cell_length_b 4.734
_cell_length_c 4.734
_cell_angle_alpha 90.00
_cell_angle_beta 90.00
_cell_angle_gamma 90.00
_space_group_name_H-M_alt 'P m -3 m'
_space_group_IT_number 221
_space_group_name_Hall '-P 4 2 3'
loop_
_atom_site_label
_atom_site_type_symbol
_atom_site_fract_x
_atom_site_fract_y
_atom_site_fract_z
Os1 Os 0.000 0.000 0.000
W1 W 0.000 0.000 0.500
N1 N 0.500 0.500 0.500


(5)
# Li2ZrAs2 (GGA-PBE, relaxed)
# magnetic moment: 0.00 μB per cell
# calculated formation energy: -634.0 meV/atom
data_Li2ZrAs2
_chemical_formula_sum 'Li4 Zr2 As4'
_cell_length_a 3.658
_cell_length_b 3.658
_cell_length_c 12.670
_cell_angle_alpha 90.00
_cell_angle_beta 90.00
_cell_angle_gamma 90.00
_space_group_name_H-M_alt 'I 4/m m m'
_space_group_IT_number 139
_space_group_name_Hall '-I 4 2'
loop_
_atom_site_label
_atom_site_type_symbol
_atom_site_fract_x
_atom_site_fract_y
_atom_site_fract_z
Li1 Li 0.000 0.500 0.250
Zr1 Zr 0.000 0.000 0.000
As1 As 0.000 0.000 0.391


(6)
# TmScGePd (GGA-PBE, relaxed)
# magnetic moment: 0.00 μB per cell
# calculated formation energy: -878.0 meV/atom
# relative energy among the computed polymorphs: 0.0 kJ/mol of formula units
data_TmScGePd
_chemical_formula_sum 'Tm2 Sc2 Ge2 Pd2'
_cell_length_a 4.216
_cell_length_b 3.676
_cell_length_c 10.664
_cell_angle_alpha 90.00
_cell_angle_beta 90.00
_cell_angle_gamma 90.00
_space_group_name_H-M_alt 'A m m 2'
_space_group_IT_number 38
_space_group_name_Hall 'A 2 -2'
loop_
_atom_site_label
_atom_site_type_symbol
_atom_site_fract_x
_atom_site_fract_y
_atom_site_fract_z
Tm1 Tm 0.000 0.000 0.000
Sc1 Sc 0.500 0.000 0.282
Ge1 Ge 0.000 0.000 0.729
Pd1 Pd 0.500 0.000 0.565